No. 1
# AgHgPd2

Crystalline AgHgPd2 at its relaxed geometry (PBE, OQMD via LeMat-Bulk).

Results
ΔE to the lowest computed polymorph: 4 meV per atom

a b c (Å): 5.9695 6.1847 3.6906
angles (deg): 90.00 90.00 90.00
Last column: nearest neighbours and their distance in Å.
Sites, in units of the cell vectors:
Ag 0.0000 0.0000 0.0000  8 Pd 2.83, 4 Hg 2.98-3.09
Ag 0.5000 0.5000 0.0000  8 Pd 2.83, 4 Hg 2.98-3.09
Hg 0.0000 0.5000 0.0000  8 Pd 2.83, 4 Ag 2.98-3.09
Hg 0.5000 0.0000 0.0000  8 Pd 2.83, 4 Ag 2.98-3.09
Pd 0.2500 0.2500 0.5000  4 Ag 2.83, 4 Hg 2.83, 4 Pd 2.98-3.09
Pd 0.2500 0.7500 0.5000  4 Hg 2.83, 4 Ag 2.83, 4 Pd 2.98-3.09
Pd 0.7500 0.2500 0.5000  4 Hg 2.83, 4 Ag 2.83, 4 Pd 2.98-3.09
Pd 0.7500 0.7500 0.5000  4 Hg 2.83, 4 Ag 2.83, 4 Pd 2.98-3.09


No. 2
# LaTlCd2

Crystalline LaTlCd2 at its relaxed geometry (PBE, OQMD via LeMat-Bulk).

Results
Spin magnetization: 0.00 μB/cell

a b c (Å): 7.5041 7.5041 7.5041
angles (deg): 90.00 90.00 90.00
Last column: nearest neighbours and their distance in Å.
Sites, in units of the cell vectors:
La 0.0000 0.0000 0.0000  4 Tl 3.25, 4 Cd 3.25
La 0.0000 0.5000 0.5000  4 Tl 3.25, 4 Cd 3.25
La 0.5000 0.0000 0.5000  4 Tl 3.25, 4 Cd 3.25
La 0.5000 0.5000 0.0000  4 Tl 3.25, 4 Cd 3.25
Tl 0.2500 0.2500 0.7500  4 Cd 3.25, 4 La 3.25
Tl 0.2500 0.7500 0.2500  4 Cd 3.25, 4 La 3.25
Tl 0.7500 0.2500 0.2500  4 Cd 3.25, 4 La 3.25
Tl 0.7500 0.7500 0.7500  4 Cd 3.25, 4 La 3.25
Cd 0.0000 0.0000 0.5000  4 Cd 3.25, 4 Tl 3.25
Cd 0.0000 0.5000 0.0000  4 Cd 3.25, 4 Tl 3.25
Cd 0.2500 0.2500 0.2500  4 Cd 3.25, 4 La 3.25
Cd 0.2500 0.7500 0.7500  4 Cd 3.25, 4 La 3.25
Cd 0.5000 0.0000 0.0000  4 Cd 3.25, 4 Tl 3.25
Cd 0.5000 0.5000 0.5000  4 Cd 3.25, 4 Tl 3.25
Cd 0.7500 0.2500 0.7500  4 Cd 3.25, 4 La 3.25
Cd 0.7500 0.7500 0.2500  4 Cd 3.25, 4 La 3.25


No. 3
# TbAsPbO

Crystalline TbAsPbO at its relaxed geometry (PBE, OQMD via LeMat-Bulk).

Results
Spin magnetization: 0.00 μB/cell
ΔE to the lowest computed polymorph: 0 meV per atom

a b c (Å): 3.9742 8.9963 5.9729
angles (deg): 90.00 90.00 90.00
Last column: nearest neighbours and their distance in Å.
Sites, in units of the cell vectors:
Tb 0.0000 0.1623 0.0000  2 O 2.18
Tb 0.0000 0.8377 0.5000  2 O 2.18
As 0.0000 0.1582 0.4934  2 Pb 2.78, 3 Tb 2.88-3.03
As 0.0000 0.8418 0.9934  2 Pb 2.78, 3 Tb 2.88-3.03
Pb 0.5000 0.3625 0.5959  1 O 2.40
Pb 0.5000 0.6375 0.0959  1 O 2.40
O 0.5000 0.2596 0.9663  2 Tb 2.18, 1 Pb 2.40
O 0.5000 0.7404 0.4663  2 Tb 2.18, 1 Pb 2.40


No. 4
# TbTaN2O

Crystalline TbTaN2O at its relaxed geometry (PBE, OQMD via LeMat-Bulk).

Results
Spin magnetization: 0.00 μB/cell

a b c (Å): 5.6890 5.6890 14.1064
angles (deg): 90.00 90.00 120.00
Last column: nearest neighbours and their distance in Å.
Sites, in units of the cell vectors:
Tb 0.0000 0.0000 0.2500  6 N 2.73, 6 O 2.85
Tb 0.0000 0.0000 0.7500  6 N 2.73, 6 O 2.85
Tb 0.3333 0.6667 0.1213  3 O 2.40
Tb 0.3333 0.6667 0.3787  3 O 2.40
Tb 0.6667 0.3333 0.6213  3 O 2.40
Tb 0.6667 0.3333 0.8787  3 O 2.40
Ta 0.0000 0.0000 0.0000  6 N 2.03
Ta 0.0000 0.0000 0.5000  6 N 2.03
Ta 0.3333 0.6667 0.6462  3 N 1.89
Ta 0.3333 0.6667 0.8538  3 N 1.89
Ta 0.6667 0.3333 0.1462  3 N 1.89
Ta 0.6667 0.3333 0.3538  3 N 1.89
N 0.1586 0.3173 0.5914  2 Ta 1.89-2.03
N 0.1586 0.3173 0.9086  2 Ta 1.89-2.03
N 0.1586 0.8414 0.5914  2 Ta 1.89-2.03
N 0.1586 0.8414 0.9086  2 Ta 1.89-2.03
N 0.3173 0.1586 0.0914  2 Ta 1.89-2.03
N 0.3173 0.1586 0.4086  2 Ta 1.89-2.03
N 0.6827 0.8414 0.5914  2 Ta 1.89-2.03
N 0.6827 0.8414 0.9086  2 Ta 1.89-2.03
N 0.8414 0.1586 0.0914  2 Ta 1.89-2.03
N 0.8414 0.1586 0.4086  2 Ta 1.89-2.03
N 0.8414 0.6827 0.0914  2 Ta 1.89-2.03
N 0.8414 0.6827 0.4086  2 Ta 1.89-2.03
O 0.0143 0.5072 0.2500  2 Ta 2.25, 2 Tb 2.40
O 0.4928 0.5072 0.2500  2 Ta 2.25, 2 Tb 2.40
O 0.4928 0.9857 0.2500  2 Ta 2.25, 2 Tb 2.40
O 0.5072 0.0143 0.7500  2 Ta 2.25, 2 Tb 2.40
O 0.5072 0.4928 0.7500  2 Ta 2.25, 2 Tb 2.40
O 0.9857 0.4928 0.7500  2 Ta 2.25, 2 Tb 2.40


No. 5
# Dy2HoMg4Al2

Crystalline Dy2HoMg4Al2 at its relaxed geometry (PBE, OQMD via LeMat-Bulk).

Results
Spin magnetization: 0.01 μB/cell

a b c (Å): 4.5617 7.4652 7.4652
angles (deg): 119.89 90.00 90.00
Last column: nearest neighbours and their distance in Å.
Sites, in units of the cell vectors:
Dy 0.0000 0.2180 0.7820  4 Al 3.18, 3 Mg 3.26-3.27
Dy 0.0000 0.7820 0.2180  4 Al 3.18, 3 Mg 3.26-3.27
Ho 0.0000 0.3457 0.3457  4 Al 3.17, 3 Mg 3.26-3.27
Mg 0.0000 0.7811 0.7811  6 Mg 2.94-2.95, 1 Ho 3.26, 2 Dy 3.26
Mg 0.5000 0.0316 0.0316  2 Al 2.85, 2 Mg 2.95
Mg 0.5000 0.5320 0.7817  2 Al 2.85-2.86, 2 Mg 2.94
Mg 0.5000 0.7817 0.5320  2 Al 2.85-2.86, 2 Mg 2.94
Al 0.5000 0.1157 0.4484  3 Mg 2.85-2.86, 2 Ho 3.17, 4 Dy 3.18
Al 0.5000 0.4484 0.1157  3 Mg 2.85-2.86, 2 Ho 3.17, 4 Dy 3.18


No. 6
# CoCuSiSn

Crystalline CoCuSiSn at its relaxed geometry (PBE, OQMD via LeMat-Bulk).

Results
Spin magnetization: 0.01 μB/cell
ΔE to the lowest computed polymorph: 0 meV per atom

a b c (Å): 6.1262 6.1262 6.1262
angles (deg): 90.00 90.00 90.00
Last column: nearest neighbours and their distance in Å.
Sites, in units of the cell vectors:
Co 0.0000 0.0000 0.0000  4 Si 2.65, 4 Sn 2.65
Co 0.0000 0.5000 0.5000  4 Si 2.65, 4 Sn 2.65
Co 0.5000 0.0000 0.5000  4 Si 2.65, 4 Sn 2.65
Co 0.5000 0.5000 0.0000  4 Si 2.65, 4 Sn 2.65
Cu 0.0000 0.0000 0.5000  4 Sn 2.65, 4 Si 2.65
Cu 0.0000 0.5000 0.0000  4 Sn 2.65, 4 Si 2.65
Cu 0.5000 0.0000 0.0000  4 Sn 2.65, 4 Si 2.65
Cu 0.5000 0.5000 0.5000  4 Sn 2.65, 4 Si 2.65
Si 0.2500 0.2500 0.7500  4 Cu 2.65, 4 Co 2.65
Si 0.2500 0.7500 0.2500  4 Cu 2.65, 4 Co 2.65
Si 0.7500 0.2500 0.2500  4 Cu 2.65, 4 Co 2.65
Si 0.7500 0.7500 0.7500  4 Cu 2.65, 4 Co 2.65
Sn 0.2500 0.2500 0.2500  4 Co 2.65, 4 Cu 2.65
Sn 0.2500 0.7500 0.7500  4 Co 2.65, 4 Cu 2.65
Sn 0.7500 0.2500 0.7500  4 Co 2.65, 4 Cu 2.65
Sn 0.7500 0.7500 0.2500  4 Co 2.65, 4 Cu 2.65


No. 7
# GdHoZn2

Crystalline GdHoZn2 at its relaxed geometry (PBE, OQMD via LeMat-Bulk).

Results
Spin magnetization: 1.31 μB/cell

a b c (Å): 7.1357 7.1357 7.1357
angles (deg): 90.00 90.00 90.00
Last column: nearest neighbours and their distance in Å.
Sites, in units of the cell vectors:
Gd 0.0000 0.0000 0.0000  8 Zn 3.09
Gd 0.0000 0.5000 0.5000  8 Zn 3.09
Gd 0.5000 0.0000 0.5000  8 Zn 3.09
Gd 0.5000 0.5000 0.0000  8 Zn 3.09
Ho 0.0000 0.0000 0.5000  8 Zn 3.09
Ho 0.0000 0.5000 0.0000  8 Zn 3.09
Ho 0.5000 0.0000 0.0000  8 Zn 3.09
Ho 0.5000 0.5000 0.5000  8 Zn 3.09
Zn 0.2500 0.2500 0.2500  4 Gd 3.09, 4 Ho 3.09
Zn 0.2500 0.2500 0.7500  4 Gd 3.09, 4 Ho 3.09
Zn 0.2500 0.7500 0.2500  4 Gd 3.09, 4 Ho 3.09
Zn 0.2500 0.7500 0.7500  4 Gd 3.09, 4 Ho 3.09
Zn 0.7500 0.2500 0.2500  4 Gd 3.09, 4 Ho 3.09
Zn 0.7500 0.2500 0.7500  4 Gd 3.09, 4 Ho 3.09
Zn 0.7500 0.7500 0.2500  4 Gd 3.09, 4 Ho 3.09
Zn 0.7500 0.7500 0.7500  4 Ho 3.09, 4 Gd 3.09


No. 8
# MgScTe2AuS

Crystalline MgScTe2AuS at its relaxed geometry (PBE, OQMD via LeMat-Bulk).

Results
Spin magnetization: 0.01 μB/cell

a b c (Å): 7.6866 7.6866 9.3988
angles (deg): 90.00 90.00 148.52
Last column: nearest neighbours and their distance in Å.
Sites, in units of the cell vectors:
Mg 0.2457 0.7543 0.7500  6 Te 3.15-3.16, 2 S 3.37
Mg 0.7543 0.2457 0.2500  6 Te 3.15-3.16, 2 S 3.37
Sc 0.0000 0.0000 0.0000  2 S 2.60
Sc 0.0000 0.0000 0.5000  2 S 2.60
Te 0.3468 0.6532 0.0458  1 Au 2.80, 2 Sc 3.11
Te 0.3468 0.6532 0.4542  1 Au 2.80, 2 Sc 3.11
Te 0.6532 0.3468 0.5458  1 Au 2.80, 2 Sc 3.11
Te 0.6532 0.3468 0.9542  1 Au 2.80, 2 Sc 3.11
Au 0.4842 0.5158 0.2500  2 S 2.49
Au 0.5158 0.4842 0.7500  2 S 2.49
S 0.0756 0.9244 0.2500  2 Au 2.49, 2 Sc 2.60
S 0.9244 0.0756 0.7500  2 Au 2.49, 2 Sc 2.60


Number 1: V 17.03 A^3/atom, density 12.7 g/cm³, final energy -3.51 eV/atom. Number 2: V 26.41 A^3/atom, density 8.9 g/cm³, final energy -2.57 eV/atom. Number 3: V 26.69 A^3/atom, density 7.1 g/cm³, final energy -5.90 eV/atom. Number 4: V 13.18 A^3/atom, density 9.7 g/cm³, final energy -9.29 eV/atom. Number 5: V 24.49 A^3/atom, density 4.8 g/cm³, final energy -3.27 eV/atom. Number 6: V 14.37 A^3/atom, density 7.8 g/cm³, final energy -4.83 eV/atom. Number 7: V 22.71 A^3/atom, density 8.3 g/cm³, final energy -3.28 eV/atom. Number 8: V 24.16 A^3/atom, density 6.3 g/cm³, final energy -4.31 eV/atom.